Entry 1:
A plane-wave DFT calculation with PBE was carried out for a relaxed structure of LuPa2Ir.

Properties
Space-group type = No. 166
Formation enthalpy at 0 K = 9.2 kJ/mol of atoms
VASP energy = -7.998 eV/atom

a b c (Å): 3.4577 3.4577 10.3686
angles (deg): 80.40 80.40 60.00
Fractional coordinates of all 4 atoms:
Ir 0.5000 0.5000 0.5000
Pa 0.8974 0.8974 0.3079
Pa 0.1026 0.1026 0.6921
Lu 0.0000 0.0000 0.0000



Entry 2:
A plane-wave DFT calculation with PBE was carried out for a relaxed structure of Ti2Nb2In.

Properties
Space-group type = No. 139
Formation enthalpy at 0 K = 44.3 kJ/mol of atoms
Relative energy among the computed polymorphs = 0.506 eV/atom
VASP energy = -7.274 eV/atom

a b c (Å): 3.9151 3.9151 6.9691
angles (deg): 73.69 73.69 90.00
Fractional coordinates of all 5 atoms:
Nb 0.2500 0.7500 0.5000
Nb 0.7500 0.2500 0.5000
In 0.0000 0.0000 0.0000
Ti 0.4113 0.4113 0.1774
Ti 0.5887 0.5887 0.8226